No. 1
# HfMg2Ge4 (PBE-GGA, optimized geometry)
# ΔH_f (0 K)   0.2421 eV per atom
data_HfMg2Ge4
_chemical_formula_sum 'Hf1 Mg2 Ge4'
_symmetry_space_group_name_H-M 'P 1'
_symmetry_Int_Tables_number 1
_cell_length_a 5.154
_cell_length_b 5.154
_cell_length_c 7.699
_cell_angle_alpha 70.44
_cell_angle_beta 70.44
_cell_angle_gamma 90.00
loop_
_symmetry_equiv_pos_as_xyz
'x,y,z'
loop_
_atom_site_label
_atom_site_fract_x
_atom_site_fract_y
_atom_site_fract_z
Ge1 0.807 0.807 0.385
Ge2 0.193 0.193 0.615
Ge3 0.000 0.500 0.000
Ge4 0.500 0.000 0.000
Hf1 0.000 0.000 0.000
Mg1 0.612 0.612 0.776
Mg2 0.388 0.388 0.224


No. 2
# KVSeBr2 (PBE-GGA, optimized geometry)
# ΔE_f (raw)   4.00 eV per formula unit
# Energy above the lowest structure with this stoichiometry   8.72 eV per formula unit
data_KVSeBr2
_chemical_formula_sum 'K1 V1 Se1 Br2'
_symmetry_space_group_name_H-M 'P 1'
_symmetry_Int_Tables_number 1
_cell_length_a 5.735
_cell_length_b 5.735
_cell_length_c 5.818
_cell_angle_alpha 90.00
_cell_angle_beta 90.00
_cell_angle_gamma 90.00
loop_
_symmetry_equiv_pos_as_xyz
'x,y,z'
loop_
_atom_site_label
_atom_site_fract_x
_atom_site_fract_y
_atom_site_fract_z
K1 0.000 0.000 0.000
Se1 0.000 0.000 0.500
Br1 0.000 0.500 0.000
Br2 0.500 0.000 0.000
V1 0.500 0.500 0.500


No. 3
# PmCu2SO8 (PBE-GGA, optimized geometry)
# ΔE_f (raw)   -8.98 eV per formula unit
data_PmCu2SO8
_chemical_formula_sum 'Pm1 Cu2 S1 O8'
_symmetry_space_group_name_H-M 'P 1'
_symmetry_Int_Tables_number 1
_cell_length_a 4.921
_cell_length_b 4.921
_cell_length_c 6.210
_cell_angle_alpha 90.00
_cell_angle_beta 90.00
_cell_angle_gamma 120.00
loop_
_symmetry_equiv_pos_as_xyz
'x,y,z'
loop_
_atom_site_label
_atom_site_fract_x
_atom_site_fract_y
_atom_site_fract_z
Pm1 0.000 0.000 0.500
Cu1 0.667 0.333 0.129
Cu2 0.333 0.667 0.871
S1 0.000 0.000 0.000
O1 0.843 0.687 0.845
O2 0.313 0.157 0.845
O3 0.843 0.157 0.845
O4 0.157 0.313 0.155
O5 0.687 0.843 0.155
O6 0.157 0.843 0.155
O7 0.667 0.333 0.423
O8 0.333 0.667 0.577


No. 4
# TaSb2P (PBE-GGA, optimized geometry)
# ΔE_f (raw)   2.24 eV per formula unit
data_TaSb2P
_chemical_formula_sum 'Ta1 Sb2 P1'
_symmetry_space_group_name_H-M 'P 1'
_symmetry_Int_Tables_number 1
_cell_length_a 3.359
_cell_length_b 4.740
_cell_length_c 5.209
_cell_angle_alpha 90.00
_cell_angle_beta 90.00
_cell_angle_gamma 90.00
loop_
_symmetry_equiv_pos_as_xyz
'x,y,z'
loop_
_atom_site_label
_atom_site_fract_x
_atom_site_fract_y
_atom_site_fract_z
Ta1 0.500 0.500 0.000
Sb1 0.000 0.000 0.000
Sb2 0.500 0.000 0.500
P1 0.000 0.500 0.500


No. 5
# BaY2Os (PBE-GGA, optimized geometry)
# ΔH_f (0 K)   0.6059 eV per atom
# Energy above the lowest structure with this stoichiometry   2.58 eV per formula unit
data_BaY2Os
_chemical_formula_sum 'Ba1 Y2 Os1'
_symmetry_space_group_name_H-M 'P 1'
_symmetry_Int_Tables_number 1
_cell_length_a 6.104
_cell_length_b 6.104
_cell_length_c 6.104
_cell_angle_alpha 136.49
_cell_angle_beta 136.49
_cell_angle_gamma 63.22
loop_
_symmetry_equiv_pos_as_xyz
'x,y,z'
loop_
_atom_site_label
_atom_site_fract_x
_atom_site_fract_y
_atom_site_fract_z
Ba1 0.500 0.500 0.000
Os1 0.750 0.250 0.500
Y1 0.000 0.000 0.000
Y2 0.250 0.750 0.500


No. 6
# ZnFeIrRu (PBE-GGA, optimized geometry)
# ΔH_f (0 K)   -0.0146 eV per atom
data_ZnFeIrRu
_chemical_formula_sum 'Zn1 Fe1 Ir1 Ru1'
_symmetry_space_group_name_H-M 'P 1'
_symmetry_Int_Tables_number 1
_cell_length_a 4.246
_cell_length_b 4.246
_cell_length_c 4.246
_cell_angle_alpha 60.00
_cell_angle_beta 60.00
_cell_angle_gamma 60.00
loop_
_symmetry_equiv_pos_as_xyz
'x,y,z'
loop_
_atom_site_label
_atom_site_fract_x
_atom_site_fract_y
_atom_site_fract_z
Ru1 0.750 0.750 0.750
Zn1 0.000 0.000 0.000
Ir1 0.250 0.250 0.250
Fe1 0.500 0.500 0.500


No. 7
# Cd2Ag7Au (PBE-GGA, optimized geometry)
# ΔH_f (0 K)   0.1404 eV per atom
data_Cd2Ag7Au
_chemical_formula_sum 'Cd2 Ag7 Au1'
_symmetry_space_group_name_H-M 'P 1'
_symmetry_Int_Tables_number 1
_cell_length_a 2.862
_cell_length_b 9.521
_cell_length_c 9.521
_cell_angle_alpha 123.78
_cell_angle_beta 90.00
_cell_angle_gamma 90.00
loop_
_symmetry_equiv_pos_as_xyz
'x,y,z'
loop_
_atom_site_label
_atom_site_fract_x
_atom_site_fract_y
_atom_site_fract_z
Cd1 0.500 0.678 0.322
Cd2 0.500 0.322 0.678
Ag1 0.000 0.825 0.175
Ag2 0.000 0.175 0.825
Ag3 0.500 0.143 0.319
Ag4 0.500 0.857 0.681
Ag5 0.500 0.319 0.143
Ag6 0.500 0.681 0.857
Ag7 0.500 0.500 0.500
Au1 0.000 0.000 0.000


No. 8
# BaCa2Au (PBE-GGA, optimized geometry)
# ΔH_f (0 K)   -0.3307 eV per atom
# Energy above the lowest structure with this stoichiometry   0.41 eV per formula unit
data_BaCa2Au
_chemical_formula_sum 'Ba1 Ca2 Au1'
_symmetry_space_group_name_H-M 'P 1'
_symmetry_Int_Tables_number 1
_cell_length_a 8.824
_cell_length_b 8.824
_cell_length_c 8.824
_cell_angle_alpha 154.93
_cell_angle_beta 147.69
_cell_angle_gamma 41.33
loop_
_symmetry_equiv_pos_as_xyz
'x,y,z'
loop_
_atom_site_label
_atom_site_fract_x
_atom_site_fract_y
_atom_site_fract_z
Ca1 0.004 0.004 0.000
Ca2 0.658 0.158 0.500
Au1 0.508 0.508 0.000
Ba1 0.330 0.830 0.500